VASP calculation (PBE-GGA) on an optimized crystal structure of PaIn4Ni15. Values from VASP.

Properties
Crystal system: tetragonal
Space-group type: P4/mmm (123)
Formation energy from the elements: -14.13 kJ per mole of atoms

```
&SYSTEM
  ibrav = 0, nat = 20, ntyp = 3
/
ATOMIC_SPECIES
Ni 58.69 Ni.upf
In 114.82 In.upf
Pa 231.04 Pa.upf
CELL_PARAMETERS angstrom
-1.571 1.886 2.880
-2.930 -2.395 -0.030
8.904 -11.042 12.087
ATOMIC_POSITIONS angstrom
Ni 7.222 -8.987 12.309
Ni 1.226 -4.535 3.638
In 1.814 -2.250 2.463
Ni -0.442 -2.497 3.880
Ni 2.987 -6.719 6.029
Ni 0.111 -0.169 2.657
In 7.090 -8.793 9.624
Ni 6.542 -11.128 10.854
Ni 3.081 -6.866 8.662
Ni 5.427 -6.762 9.873
Ni 1.906 -2.395 5.093
Ni 1.322 -4.685 6.275
Ni 3.666 -4.578 7.483
Ni -2.250 -0.254 1.425
Pa 0.000 0.000 0.000
Ni -0.568 -2.310 1.203
Ni 4.747 -8.902 8.419
In 5.333 -6.614 7.239
In 3.571 -4.429 4.847
Ni 4.845 -9.054 11.057
```


VASP calculation (PBE-GGA) on an optimized crystal structure of Si2AgOs. Values from VASP.

Properties
Offset from the most stable computed form: 0.2507 eV per atom
E_form (uncorrected): 1.13 eV/f.u.
Crystal system: trigonal
Space-group type: R3m (160)

```
&SYSTEM
  ibrav = 0, nat = 4, ntyp = 3
/
ATOMIC_SPECIES
Si 28.09 Si.upf
Os 190.23 Os.upf
Ag 107.87 Ag.upf
CELL_PARAMETERS angstrom
8.212 -0.031 -0.018
7.695 2.869 -0.018
7.695 1.373 2.519
ATOMIC_POSITIONS angstrom
Si 6.068 1.083 0.638
Si 0.013 0.002 0.001
Os 17.413 3.107 1.832
Ag 11.908 2.125 1.253
```


VASP calculation (PBE-GGA) on an optimized crystal structure of Ca3PrDy2Te6. Values from VASP.

Properties
E_form (uncorrected): -17.71 eV/f.u.
Crystal system: monoclinic
Space-group type: C2/m (12)

```
&SYSTEM
  ibrav = 0, nat = 12, ntyp = 4
/
ATOMIC_SPECIES
Dy 162.50 Dy.upf
Te 127.60 Te.upf
Ca 40.08 Ca.upf
Pr 140.91 Pr.upf
CELL_PARAMETERS angstrom
4.415 0.000 0.000
0.000 8.984 0.221
-2.207 -2.695 9.398
ATOMIC_POSITIONS angstrom
Dy 2.207 4.246 6.482
Te 0.000 2.315 0.078
Te 2.207 4.265 3.322
Ca 0.000 6.585 3.264
Ca 2.207 -0.296 6.354
Ca 2.207 4.492 0.110
Te 0.000 6.425 6.399
Te 0.000 2.024 6.296
Te 2.207 -0.136 3.219
Pr 2.207 0.000 0.000
Te 2.207 3.974 9.540
Dy 0.000 2.043 3.136
```


VASP calculation (PBE-GGA) on an optimized crystal structure of Cs3CoSn. Values from VASP.

Properties
Crystal system: cubic
Space-group type: Pm-3m (221)
Formation energy from the elements: 80.09 kJ per mole of atoms

```
&SYSTEM
  ibrav = 0, nat = 5, ntyp = 3
/
ATOMIC_SPECIES
Cs 132.91 Cs.upf
Sn 118.71 Sn.upf
Co 58.93 Co.upf
CELL_PARAMETERS angstrom
-4.347 2.714 -3.487
-3.646 0.560 4.981
2.496 5.544 1.204
ATOMIC_POSITIONS angstrom
Cs 1.248 2.772 0.602
Sn -2.748 4.409 1.349
Co 0.000 0.000 0.000
Cs -1.823 0.280 2.491
Cs -2.173 1.357 -1.743
```


VASP calculation (PBE-GGA) on an optimized crystal structure of Ca2ZnTcC. Values from VASP.

Properties
Crystal system: tetragonal
Space-group type: P4/mmm (123)
Formation energy from the elements: 11.74 kJ per mole of atoms

```
&SYSTEM
  ibrav = 0, nat = 5, ntyp = 4
/
ATOMIC_SPECIES
Zn 65.41 Zn.upf
Ca 40.08 Ca.upf
Tc 98.00 Tc.upf
C 12.01 C.upf
CELL_PARAMETERS angstrom
-4.358 -0.325 2.633
-0.474 -4.887 -1.387
2.018 -1.105 3.203
ATOMIC_POSITIONS angstrom
Zn -1.407 -3.158 2.224
Ca -0.237 -2.444 -0.694
Ca -2.179 -0.162 1.317
Tc 1.009 -0.552 1.601
C 0.000 0.000 0.000
```


VASP calculation (PBE-GGA) on an optimized crystal structure of Rb3CaOs2O8. Values from VASP.

Properties
E_form (uncorrected): -20.65 eV/f.u.
Crystal system: trigonal
Space-group type: P-3m1 (164)

```
&SYSTEM
  ibrav = 0, nat = 14, ntyp = 4
/
ATOMIC_SPECIES
Rb 85.47 Rb.upf
O 16.00 O.upf
Os 190.23 Os.upf
Ca 40.08 Ca.upf
CELL_PARAMETERS angstrom
6.169 0.000 0.000
-3.085 5.343 0.000
0.000 0.000 8.092
ATOMIC_POSITIONS angstrom
Rb 0.000 0.000 0.000
O 1.633 0.943 5.461
O 4.536 0.943 5.461
Os 0.000 3.562 1.823
O 3.085 1.781 8.050
Ca 0.000 0.000 4.046
O 0.000 3.562 0.042
O 1.451 4.400 2.631
Rb 0.000 3.562 5.362
O 3.085 3.457 5.461
Rb 3.085 1.781 2.730
O -1.451 4.400 2.631
O 0.000 1.886 2.631
Os 3.085 1.781 6.269
```


VASP calculation (PBE-GGA) on an optimized crystal structure of Nd2DySn3Ir4. Values from VASP.

Properties
Crystal system: tetragonal
Space-group type: P-4m2 (115)
Formation energy from the elements: -59.43 kJ per mole of atoms

```
&SYSTEM
  ibrav = 0, nat = 10, ntyp = 4
/
ATOMIC_SPECIES
Ir 192.22 Ir.upf
Dy 162.50 Dy.upf
Nd 144.24 Nd.upf
Sn 118.71 Sn.upf
CELL_PARAMETERS angstrom
4.393 0.000 0.000
0.000 4.393 0.000
0.000 0.000 11.632
ATOMIC_POSITIONS angstrom
Ir 2.197 0.000 7.544
Dy 2.197 2.197 5.816
Nd 0.000 2.197 8.936
Nd 2.197 0.000 2.695
Ir 2.197 2.197 0.000
Sn 0.000 2.197 1.477
Ir 0.000 0.000 0.000
Ir 0.000 2.197 4.088
Sn 0.000 0.000 5.816
Sn 2.197 0.000 10.154
```


VASP calculation (PBE-GGA) on an optimized crystal structure of Zr3SiPd. Values from VASP.

Properties
Offset from the most stable computed form: 0.0000 eV per atom
E_form (uncorrected): 0.96 eV/f.u.
Crystal system: cubic
Space-group type: Pm-3m (221)

```
&SYSTEM
  ibrav = 0, nat = 5, ntyp = 3
/
ATOMIC_SPECIES
Zr 91.22 Zr.upf
Pd 106.42 Pd.upf
Si 28.09 Si.upf
CELL_PARAMETERS angstrom
4.900 0.000 0.000
0.000 4.900 0.000
0.000 0.000 4.900
ATOMIC_POSITIONS angstrom
Zr 2.450 0.000 0.000
Zr 0.000 2.450 0.000
Pd 2.450 2.450 2.450
Si 0.000 0.000 0.000
Zr 0.000 0.000 2.450
```